TbCeSm2Tm after structural relaxation, computed with PBE.

Lattice parameters (Å, degrees): 8.111 6.782 5.941 90.00 90.11 90.00
Element x y z (fractional)
Tb: 0.000 0.084 0.250
Tb: 0.000 0.916 0.750
Ce: 0.000 0.500 0.000
Ce: 0.000 0.500 0.500
Sm: 0.302 0.193 0.749
Sm: 0.302 0.807 0.249
Sm: 0.698 0.193 0.751
Sm: 0.698 0.807 0.251
Tm: 0.500 0.341 0.250
Tm: 0.500 0.659 0.750

Calculated values
As for the formation energy: 1.47 eV/f.u. The crystal system is monoclinic.

---

TbCe2Sm6Tm3 after structural relaxation, computed with PBE.

Lattice parameters (Å, degrees): 6.187 6.187 11.803 95.02 95.02 120.01
Element x y z (fractional)
Tb: 0.000 0.000 0.000
Ce: 0.333 0.667 0.000
Ce: 0.667 0.333 0.000
Sm: 0.084 0.420 0.251
Sm: 0.251 0.251 0.749
Sm: 0.420 0.084 0.251
Sm: 0.580 0.916 0.749
Sm: 0.749 0.749 0.251
Sm: 0.916 0.580 0.749
Tm: 0.166 0.834 0.500
Tm: 0.500 0.500 0.500
Tm: 0.834 0.166 0.500

Calculated values
As for the formation energy: 0.66 eV/f.u. The crystal system is monoclinic.

---

Tb6CeSm3Tm2 after structural relaxation, computed with PBE.

Lattice parameters (Å, degrees): 6.172 6.172 11.823 95.00 95.00 119.98
Element x y z (fractional)
Tb: 0.083 0.414 0.247
Tb: 0.249 0.249 0.753
Tb: 0.414 0.083 0.247
Tb: 0.586 0.917 0.753
Tb: 0.751 0.751 0.247
Tb: 0.917 0.586 0.753
Ce: 0.000 0.000 0.000
Sm: 0.167 0.833 0.500
Sm: 0.500 0.500 0.500
Sm: 0.833 0.167 0.500
Tm: 0.333 0.667 0.000
Tm: 0.667 0.333 0.000

Calculated values
As for the formation energy: 0.42 eV/f.u. The crystal system is monoclinic.

---

Tb2CeSm6Y3 after structural relaxation, computed with PBE.

Lattice parameters (Å, degrees): 6.239 6.239 11.906 95.02 95.02 120.01
Element x y z (fractional)
Tb: 0.166 0.834 0.000
Tb: 0.834 0.166 0.000
Ce: 0.500 0.500 0.000
Sm: 0.086 0.417 0.751
Sm: 0.251 0.251 0.249
Sm: 0.417 0.086 0.751
Sm: 0.583 0.914 0.249
Sm: 0.749 0.749 0.751
Sm: 0.914 0.583 0.249
Y: 0.000 0.000 0.500
Y: 0.333 0.667 0.500
Y: 0.667 0.333 0.500

Calculated values
As for the formation energy: 0.44 eV/f.u. The crystal system is monoclinic.

---

Tb6Ce2Sm3Y after structural relaxation, computed with PBE.

Lattice parameters (Å, degrees): 6.187 6.187 11.819 95.01 95.01 119.99
Element x y z (fractional)
Tb: 0.081 0.417 0.753
Tb: 0.247 0.247 0.247
Tb: 0.417 0.081 0.753
Tb: 0.583 0.919 0.247
Tb: 0.753 0.753 0.753
Tb: 0.919 0.583 0.247
Ce: 0.166 0.834 0.000
Ce: 0.834 0.166 0.000
Sm: 0.000 0.000 0.500
Sm: 0.334 0.666 0.500
Sm: 0.666 0.334 0.500
Y: 0.500 0.500 0.000

Calculated values
As for the formation energy: 0.56 eV/f.u. The crystal system is monoclinic.

---

Tb3CeSm6Y2 after structural relaxation, computed with PBE.

Lattice parameters (Å, degrees): 6.236 6.236 11.915 95.01 95.01 120.00
Element x y z (fractional)
Tb: 0.000 0.000 0.000
Tb: 0.333 0.667 0.000
Tb: 0.667 0.333 0.000
Ce: 0.500 0.500 0.500
Sm: 0.086 0.417 0.250
Sm: 0.252 0.252 0.750
Sm: 0.417 0.086 0.250
Sm: 0.583 0.914 0.750
Sm: 0.748 0.748 0.250
Sm: 0.914 0.583 0.750
Y: 0.166 0.834 0.500
Y: 0.834 0.166 0.500

Calculated values
As for the formation energy: 0.45 eV/f.u. The crystal system is monoclinic.

---

Tb2CeSm3Y6 after structural relaxation, computed with PBE.

Lattice parameters (Å, degrees): 6.215 6.215 11.839 95.01 95.01 119.99
Element x y z (fractional)
Tb: 0.167 0.833 0.000
Tb: 0.833 0.167 0.000
Ce: 0.500 0.500 0.000
Sm: 0.000 0.000 0.500
Sm: 0.332 0.668 0.500
Sm: 0.668 0.332 0.500
Y: 0.086 0.417 0.752
Y: 0.252 0.252 0.248
Y: 0.417 0.086 0.752
Y: 0.583 0.914 0.248
Y: 0.748 0.748 0.752
Y: 0.914 0.583 0.248

Calculated values
As for the formation energy: 0.41 eV/f.u. The crystal system is monoclinic.

---

TbCeSmY2 after structural relaxation, computed with PBE.

Lattice parameters (Å, degrees): 5.854 7.592 7.449 90.00 90.00 90.00
Element x y z (fractional)
Tb: 0.250 0.000 0.124
Tb: 0.750 0.000 0.876
Ce: 0.000 0.000 0.500
Ce: 0.500 0.000 0.500
Sm: 0.250 0.500 0.344
Sm: 0.750 0.500 0.656
Y: 0.250 0.287 0.828
Y: 0.250 0.713 0.828
Y: 0.750 0.287 0.172
Y: 0.750 0.713 0.172

Calculated values
As for the formation energy: 1.47 eV/f.u. The crystal system is orthorhombic.

---

Question: Which formula does entry 3 have?
Answer: Tb6CeSm3Tm2